A plane-wave DFT calculation with GGA-PBE was carried out for a geometry-optimized TbPmSi4 structure.

Unit cell a=5.379 b=5.379 c=5.379 alpha=60.00 beta=60.00 gamma=60.00
Element x y z (fractional)
Si (0.624, 0.624, 0.624)
Si (0.624, 0.624, 0.128)
Si (0.128, 0.624, 0.624)
Si (0.624, 0.128, 0.624)
Pm (0.000, 0.000, 0.000)
Tb (0.250, 0.250, 0.250)

Output
space group	F-43m (216)
DOS(E_F)	4.1	states/eV per cell
formation energy from raw total energies	-0.303	eV/atom
calculated total energy	-32.9	eV per cell
size of the total moment	0.0	μB/f.u.